1.
Here is crystalline TaAl2IrPb at its relaxed geometry from Alexandria. Energies are from GGA-PBE.

Unit cell a=5.1105 b=4.7846 c=5.1105 alpha=90.00 beta=90.00 gamma=90.00
With the nearest neighbours (Å) after each atom.
Fractional coordinates of all 5 atoms:
Al 0.5000 0.0000 0.0000  2 Ta 2.56
Al 0.0000 0.0000 0.5000  2 Ta 2.56
Pb 0.5000 0.5000 0.5000  8 Al 3.50, 4 Ir 3.61
Ta 0.0000 0.0000 0.0000  2 Ir 2.39, 4 Al 2.56
Ir 0.0000 0.5000 0.0000  2 Ta 2.39

Computed properties:
Formation energy from the elements   0.80 eV per atom

2.
Here is crystalline TiAlIrPb2 at its relaxed geometry from Alexandria. Energies are from GGA-PBE.

Unit cell a=5.2529 b=4.5182 c=5.2529 alpha=90.00 beta=90.00 gamma=90.00
With the nearest neighbours (Å) after each atom.
Fractional coordinates of all 5 atoms:
Pb 0.0000 0.0000 0.5000  2 Al 2.63
Pb 0.5000 0.0000 0.0000  2 Al 2.63
Al 0.0000 0.0000 0.0000  2 Ir 2.26
Ir 0.0000 0.5000 0.0000  2 Al 2.26
Ti 0.5000 0.5000 0.5000  8 Pb 3.46, 4 Ir 3.71

Computed properties:
Formation energy from the elements   0.88 eV per atom

3.
Here is crystalline Al2IrPd2 at its relaxed geometry from Alexandria. Energies are from GGA-PBE.

Unit cell a=2.9569 b=2.9577 c=8.5994 alpha=80.10 beta=90.00 gamma=90.00
With the nearest neighbours (Å) after each atom.
Fractional coordinates of all 5 atoms:
Al 0.5000 0.4074 0.1852  4 Pd 2.56, 4 Ir 2.61
Al 0.5000 0.5926 0.8148  4 Pd 2.56, 4 Ir 2.61
Pd 0.0000 0.1799 0.6403  4 Al 2.56, 2 Pd 2.80
Pd 0.0000 0.8201 0.3597  4 Al 2.56, 2 Pd 2.80
Ir 0.0000 0.0000 0.0000  8 Al 2.61

Computed properties:
Formation energy from the elements   -0.80 eV per atom
Energy relative to the lowest polymorph listed for this composition   0.000 eV per atom

4.
Here is crystalline Al3IrPd2 at its relaxed geometry from Alexandria. Energies are from GGA-PBE.

Unit cell a=2.9549 b=2.9549 c=9.8273 alpha=90.00 beta=90.00 gamma=90.00
With the nearest neighbours (Å) after each atom.
Fractional coordinates of all 6 atoms:
Pd 0.5000 0.5000 0.8317  8 Al 2.66-2.68, 4 Pd 2.95
Pd 0.5000 0.5000 0.1683  8 Al 2.66-2.68, 4 Pd 2.95
Ir 0.5000 0.5000 0.5000  8 Al 2.62
Al 0.0000 0.0000 0.0000  8 Pd 2.66, 4 Al 2.95
Al 0.0000 0.0000 0.6616  4 Ir 2.62, 4 Pd 2.68
Al 0.0000 0.0000 0.3384  4 Ir 2.62, 4 Pd 2.68

Computed properties:
Formation energy from the elements   -0.88 eV per atom

5.
Here is crystalline Al2IrPd2 at its relaxed geometry from Alexandria. Energies are from GGA-PBE.

Unit cell a=7.2969 b=7.2969 c=2.7950 alpha=90.00 beta=90.00 gamma=90.00
With the nearest neighbours (Å) after each atom.
Fractional coordinates of all 10 atoms:
Pd 0.3687 0.8687 0.0000  6 Al 2.48-2.62, 1 Pd 2.71
Pd 0.6313 0.1313 0.0000  6 Al 2.48-2.62, 1 Pd 2.71
Pd 0.8687 0.6313 0.0000  6 Al 2.48-2.62, 1 Pd 2.71
Pd 0.1313 0.3687 0.0000  6 Al 2.48-2.62, 1 Pd 2.71
Ir 0.0000 0.0000 0.0000  2 Ir 2.80, 4 Pd 2.86, 8 Al 3.05
Ir 0.5000 0.5000 0.0000  2 Ir 2.80, 4 Pd 2.86, 8 Al 3.05
Al 0.8303 0.3303 0.5000  6 Pd 2.48-2.62
Al 0.1697 0.6697 0.5000  6 Pd 2.48-2.62
Al 0.3303 0.1697 0.5000  6 Pd 2.48-2.62
Al 0.6697 0.8303 0.5000  6 Pd 2.48-2.62

Computed properties:
Formation energy from the elements   -0.49 eV per atom
Energy relative to the lowest polymorph listed for this composition   0.312 eV per atom

6.
Here is crystalline Al2IrPd at its relaxed geometry from Alexandria. Energies are from GGA-PBE.

Unit cell a=2.9584 b=4.3729 c=4.3729 alpha=90.00 beta=90.00 gamma=90.00
With the nearest neighbours (Å) after each atom.
Fractional coordinates of all 4 atoms:
Al 0.0000 0.5000 0.0000  4 Ir 2.64, 4 Pd 2.64
Al 0.0000 0.0000 0.5000  4 Ir 2.64, 4 Pd 2.64
Ir 0.5000 0.0000 0.0000  8 Al 2.64
Pd 0.5000 0.5000 0.5000  8 Al 2.64

Computed properties:
Formation energy from the elements   -0.88 eV per atom

7.
Here is crystalline Al5IrPd4 at its relaxed geometry from Alexandria. Energies are from GGA-PBE.

Unit cell a=3.0310 b=3.0310 c=15.6429 alpha=90.00 beta=90.00 gamma=90.00
With the nearest neighbours (Å) after each atom.
Fractional coordinates of all 10 atoms:
Pd 0.0000 0.0000 0.8011  8 Al 2.66-2.67
Pd 0.0000 0.0000 0.1989  8 Al 2.66-2.67
Pd 0.0000 0.0000 0.4001  8 Al 2.65
Pd 0.0000 0.0000 0.5999  8 Al 2.65
Ir 0.0000 0.0000 0.0000  8 Al 2.64
Al 0.5000 0.5000 0.6996  8 Pd 2.65-2.67
Al 0.5000 0.5000 0.0981  4 Ir 2.64, 4 Pd 2.66
Al 0.5000 0.5000 0.5000  8 Pd 2.65
Al 0.5000 0.5000 0.3004  8 Pd 2.65-2.67
Al 0.5000 0.5000 0.9019  4 Ir 2.64, 4 Pd 2.66

Computed properties:
Formation energy from the elements   -0.88 eV per atom

8.
Here is crystalline Al2IrPd at its relaxed geometry from Alexandria. Energies are from GGA-PBE.

Unit cell a=2.9286 b=2.9286 c=6.6250 alpha=90.00 beta=90.00 gamma=90.00
With the nearest neighbours (Å) after each atom.
Fractional coordinates of all 4 atoms:
Ir 0.5000 0.5000 0.0000  8 Al 2.62, 4 Ir 2.93
Al 0.0000 0.0000 0.7588  4 Ir 2.62, 4 Pd 2.69, 4 Al 2.93
Al 0.0000 0.0000 0.2412  4 Ir 2.62, 4 Pd 2.69, 4 Al 2.93
Pd 0.5000 0.5000 0.5000  8 Al 2.69, 4 Pd 2.93

Computed properties:
Formation energy from the elements   -0.90 eV per atom

9.
Here is crystalline Al5Ir4Pd at its relaxed geometry from Alexandria. Energies are from GGA-PBE.

Unit cell a=2.9483 b=2.9483 c=16.0387 alpha=90.00 beta=90.00 gamma=90.00
With the nearest neighbours (Å) after each atom.
Fractional coordinates of all 10 atoms:
Al 0.5000 0.5000 0.8943  4 Ir 2.63, 4 Pd 2.69
Al 0.5000 0.5000 0.6965  8 Ir 2.61-2.62
Al 0.5000 0.5000 0.5000  8 Ir 2.61
Al 0.5000 0.5000 0.1057  4 Ir 2.63, 4 Pd 2.69
Al 0.5000 0.5000 0.3035  8 Ir 2.61-2.62
Ir 0.0000 0.0000 0.5976  8 Al 2.61-2.62
Ir 0.0000 0.0000 0.2052  8 Al 2.61-2.63
Ir 0.0000 0.0000 0.4024  8 Al 2.61-2.62
Ir 0.0000 0.0000 0.7948  8 Al 2.61-2.63
Pd 0.0000 0.0000 0.0000  8 Al 2.69, 4 Pd 2.95

Computed properties:
Formation energy from the elements   -0.93 eV per atom

10.
Here is crystalline Al2IrPd3 at its relaxed geometry from Alexandria. Energies are from GGA-PBE.

Unit cell a=5.3980 b=5.3586 c=7.4890 alpha=110.96 beta=111.12 gamma=90.00
With the nearest neighbours (Å) after each atom.
Fractional coordinates of all 12 atoms:
Pd 0.0733 0.8211 0.6423  1 Al 2.44
Pd 0.9267 0.1789 0.3577  1 Al 2.44
Pd 0.4310 0.6789 0.3577  1 Al 2.44
Pd 0.5000 0.2500 0.0000  4 Al 2.56, 2 Pd 2.68, 2 Ir 2.70
Pd 0.5000 0.7500 0.0000  4 Al 2.56, 2 Pd 2.68, 2 Ir 2.70
Pd 0.5690 0.3211 0.6423  1 Al 2.44
Ir 0.0000 0.7500 0.0000  4 Al 2.54, 2 Ir 2.68, 2 Pd 2.70
Ir 0.0000 0.2500 0.0000  4 Al 2.54, 2 Ir 2.68, 2 Pd 2.70
Al 0.8858 0.6321 0.2642  3 Pd 2.44-2.56, 2 Ir 2.54
Al 0.1142 0.3679 0.7358  3 Pd 2.44-2.56, 2 Ir 2.54
Al 0.6217 0.8679 0.7358  3 Pd 2.44-2.56, 2 Ir 2.54
Al 0.3783 0.1321 0.2642  3 Pd 2.44-2.56, 2 Ir 2.54

Computed properties:
Formation energy from the elements   -0.55 eV per atom

11.
Here is crystalline Al2IrPd at its relaxed geometry from Alexandria. Energies are from GGA-PBE.

Unit cell a=4.0310 b=4.0310 c=8.6943 alpha=76.60 beta=76.60 gamma=90.00
With the nearest neighbours (Å) after each atom.
Fractional coordinates of all 8 atoms:
Ir 0.0000 0.0000 0.0000  4 Al 2.48
Ir 0.7500 0.2500 0.5000  4 Al 2.48
Al 0.1152 0.6250 0.2500  2 Ir 2.48, 2 Pd 2.52
Al 0.8750 0.8848 0.7500  2 Ir 2.48, 2 Pd 2.52
Al 0.3750 0.3652 0.7500  2 Ir 2.48, 2 Pd 2.52
Al 0.6348 0.1250 0.2500  2 Ir 2.48, 2 Pd 2.52
Pd 0.5000 0.5000 0.0000  4 Al 2.52
Pd 0.2500 0.7500 0.5000  4 Al 2.52

Computed properties:
Formation energy from the elements   -0.24 eV per atom

12.
Here is crystalline AlIr2Pd at its relaxed geometry from Alexandria. Energies are from GGA-PBE.

Unit cell a=3.7228 b=3.7228 c=9.5972 alpha=78.82 beta=78.82 gamma=90.00
With the nearest neighbours (Å) after each atom.
Fractional coordinates of all 8 atoms:
Ir 0.8750 0.8767 0.7500  4 Ir 2.62-2.64, 2 Pd 2.65, 2 Al 2.66
Ir 0.1233 0.6250 0.2500  4 Ir 2.62-2.64, 2 Pd 2.65, 2 Al 2.66
Ir 0.6267 0.1250 0.2500  4 Ir 2.62-2.64, 2 Pd 2.65, 2 Al 2.66
Ir 0.3750 0.3733 0.7500  4 Ir 2.62-2.64, 2 Pd 2.65, 2 Al 2.66
Al 0.5000 0.5000 0.0000  4 Pd 2.63, 4 Ir 2.66
Al 0.2500 0.7500 0.5000  4 Pd 2.63, 4 Ir 2.66
Pd 0.0000 0.0000 0.0000  4 Al 2.63, 4 Ir 2.65
Pd 0.7500 0.2500 0.5000  4 Al 2.63, 4 Ir 2.65

Computed properties:
Formation energy from the elements   0.10 eV per atom